No. 1
Crystalline BaSi2W at its relaxed geometry. Source: Alexandria, functional GGA-PBE.

Calculated values
The value obtained for the density of states at the Fermi level is 0.55 states/eV per atom. The excess energy over the best structure of this formula in the dataset comes out at 0.17 eV per formula unit. As for the space-group type: Pmmm (47). The value obtained for the electronic total energy is -6.386 eV/atom. As for the total moment: 0.000 μB per atom. The formation energy (no corrections) is 0.044 eV/atom.

```
BaSi2W
1.0
3.3181 0.0000 0.0000
0.0000 3.3299 0.0000
0.0000 0.0000 7.3786
Ba Si W
1 2 1
Cartesian
0.0000 0.0000 0.0000
1.6590 1.6649 2.4357
1.6590 1.6649 4.9429
0.0000 0.0000 3.6893
```

---

No. 2
Crystalline HoLuPtPb at its relaxed geometry. Source: Alexandria, functional GGA-PBE.

Calculated values
The value obtained for the density of states at the Fermi level is 0.29 states/eV per atom. The calculated formation energy comes out at -741 meV/atom. As for the space-group type: F-43m (216). The value obtained for the electronic total energy is -5.453 eV/atom. As for the total moment: 0.000 μB per atom.

```
HoLuPtPb
1.0
7.2569 0.0000 0.0000
0.0000 7.2569 0.0000
0.0000 0.0000 7.2569
Ho Lu Pt Pb
4 4 4 4
Cartesian
0.0000 0.0000 0.0000
0.0000 3.6285 3.6285
3.6285 0.0000 3.6285
3.6285 3.6285 0.0000
0.0000 0.0000 3.6285
0.0000 3.6285 0.0000
3.6285 0.0000 0.0000
3.6285 3.6285 3.6285
1.8142 1.8142 1.8142
1.8142 5.4427 5.4427
5.4427 1.8142 5.4427
5.4427 5.4427 1.8142
1.8142 1.8142 5.4427
1.8142 5.4427 1.8142
5.4427 1.8142 1.8142
5.4427 5.4427 5.4427
```

---

No. 3
Crystalline Ca2LaAlO at its relaxed geometry. Source: Alexandria, functional GGA-PBE.

Calculated values
The value obtained for the density of states at the Fermi level is 0.29 states/eV per atom. As for the space-group type: P4/mmm (123). The value obtained for the electronic total energy is -4.837 eV/atom. As for the total moment: 0.000 μB per atom. The formation energy (no corrections) is -1.310 eV/atom.

```
Ca2LaAlO
1.0
4.8470 0.0000 0.0000
0.0000 4.8470 0.0000
0.0000 0.0000 5.0702
Ca La Al O
2 1 1 1
Cartesian
0.0000 2.4235 0.0000
2.4235 0.0000 0.0000
0.0000 0.0000 2.5351
2.4235 2.4235 2.5351
0.0000 0.0000 0.0000
```

---

No. 4
Crystalline SrCaTe2 at its relaxed geometry. Source: Alexandria, functional GGA-PBE.

Calculated values
The excess energy over the best structure of this formula in the dataset comes out at 1.07 eV per formula unit. As for the space-group type: P2/m (10). The value obtained for the electronic total energy is -3.917 eV/atom. As for the total moment: 0.000 μB per atom. The formation energy (no corrections) is -1.426 eV/atom.

```
SrCaTe2
1.0
4.0953 0.0000 0.0000
0.0000 4.0634 0.0000
-1.3091 0.0000 7.9867
Sr Ca Te
1 1 2
Cartesian
0.0000 0.0000 0.0000
-0.6545 0.0000 3.9933
0.8042 2.0317 5.9612
1.9820 2.0317 2.0255
```

---

> Which formula does entry 2 have?

HoLuPtPb